[1]
# PBE Sr5Mg19Ge12, relaxed
data_Sr5Mg19Ge12
_space_group_name_H-M_alt 'P -6 2 m'
_space_group_IT_number 189
_space_group_name_Hall 'P -6 -2'
_cell_length_a 14.7054
_cell_length_b 14.7054
_cell_length_c 4.4117
_cell_angle_alpha 90.00
_cell_angle_beta 90.00
_cell_angle_gamma 120.00
loop_
_atom_site_label
_atom_site_fract_x
_atom_site_fract_y
_atom_site_fract_z
Sr1 0.0000 0.8156 0.0000
Sr2 0.3333 0.6667 0.5000
Mg1 0.0000 0.0000 0.5000
Mg2 0.0000 0.2839 0.0000
Mg3 0.0000 0.4470 0.5000
Mg4 0.1246 0.6440 0.0000
Mg5 0.1746 0.3756 0.5000
Ge1 0.0000 0.1754 0.5000
Ge2 0.0000 0.6376 0.5000
Ge3 0.1682 0.4844 0.0000
# magnetic moment	0.00	Bohr magnetons per cell
# crystal system	hexagonal

=====

[2]
# PBE Sr2CdHg, relaxed
data_Sr2CdHg
_space_group_name_H-M_alt 'I -4 m 2'
_space_group_IT_number 119
_space_group_name_Hall 'I -4 -2'
_cell_length_a 4.8489
_cell_length_b 4.8489
_cell_length_c 11.6476
_cell_angle_alpha 90.00
_cell_angle_beta 90.00
_cell_angle_gamma 90.00
loop_
_atom_site_label
_atom_site_fract_x
_atom_site_fract_y
_atom_site_fract_z
Sr1 0.0000 0.0000 0.0000
Sr2 0.0000 0.5000 0.2500
Cd1 0.0000 0.5000 0.7500
Hg1 0.0000 0.0000 0.5000
# magnetic moment	0.00	Bohr magnetons per cell
# crystal system	tetragonal

=====

| no. | DFT formation energy (eV/atom) |
| --- | --- |
| 1 | -0.401 |
| 2 | -0.272 |